Computed, not measured: a geometry-optimized WN2 structure at the GGA-PBE level of DFT.

Summary:
* calculated density: 12.84 g/cm³
* final energy: -9.79 eV per atom

a = 4.7759 Å, b = 4.7759 Å, c = 4.1743 Å
α = 90.00°, β = 90.00°, γ = 144.88°
Fractional positions:
1 W 0.0998 0.9002 0.5000
2 W 0.9002 0.0998 0.0000
3 N 0.3182 0.6818 0.6583
4 N 0.4254 0.5746 0.4035
5 N 0.5746 0.4254 0.9035
6 N 0.6818 0.3182 0.1583

Computed, not measured: a geometry-optimized WN2 structure at the GGA-PBE level of DFT.

Summary:
* calculated density: 11.29 g/cm³
* final energy: -9.52 eV per atom

a = 4.9955 Å, b = 4.9955 Å, c = 4.9955 Å
α = 90.00°, β = 90.00°, γ = 90.00°
Fractional positions:
1 W 0.0000 0.0000 0.0000
2 W 0.0000 0.5000 0.5000
3 W 0.5000 0.0000 0.5000
4 W 0.5000 0.5000 0.0000
5 N 0.1505 0.6505 0.8495
6 N 0.1505 0.8495 0.3495
7 N 0.3495 0.1505 0.8495
8 N 0.3495 0.3495 0.3495
9 N 0.6505 0.6505 0.6505
10 N 0.6505 0.8495 0.1505
11 N 0.8495 0.1505 0.6505
12 N 0.8495 0.3495 0.1505

Computed, not measured: a geometry-optimized WN2 structure at the GGA-PBE level of DFT.

Summary:
* calculated density: 10.22 g/cm³
* final energy: -9.95 eV per atom

a = 4.8283 Å, b = 4.8283 Å, c = 2.9526 Å
α = 90.00°, β = 90.00°, γ = 90.00°
Fractional positions:
1 W 0.0000 0.0000 0.0000
2 W 0.5000 0.5000 0.5000
3 N 0.1970 0.1970 0.5000
4 N 0.3030 0.6970 0.0000
5 N 0.6970 0.3030 0.0000
6 N 0.8030 0.8030 0.5000

Computed, not measured: a geometry-optimized WN2 structure at the GGA-PBE level of DFT.

Summary:
* calculated density: 13.63 g/cm³
* final energy: -9.67 eV per atom

a = 4.3257 Å, b = 4.3257 Å, c = 2.7591 Å
α = 90.00°, β = 90.00°, γ = 90.00°
Fractional positions:
1 W 0.0000 0.0000 0.0000
2 W 0.5000 0.5000 0.0000
3 N 0.1148 0.3852 0.5000
4 N 0.3852 0.8852 0.5000
5 N 0.6148 0.1148 0.5000
6 N 0.8852 0.6148 0.5000

Computed, not measured: a geometry-optimized WN2 structure at the GGA-PBE level of DFT.

Summary:
* calculated density: 12.29 g/cm³
* final energy: -7.36 eV per atom

a = 4.3265 Å, b = 4.3265 Å, c = 4.3265 Å
α = 60.00°, β = 60.00°, γ = 60.00°
Fractional positions:
1 W 0.1250 0.1250 0.1250
2 W 0.8750 0.8750 0.8750
3 N 0.0000 0.5000 0.5000
4 N 0.5000 0.0000 0.5000
5 N 0.5000 0.5000 0.0000
6 N 0.5000 0.5000 0.5000

Computed, not measured: a geometry-optimized WN2 structure at the GGA-PBE level of DFT.

Summary:
* calculated density: 12.23 g/cm³
* final energy: -10.14 eV per atom

a = 2.9157 Å, b = 2.9157 Å, c = 3.9061 Å
α = 90.00°, β = 90.00°, γ = 120.00°
Fractional positions:
1 W 0.0000 0.0000 0.0000
2 N 0.3333 0.6667 0.3191
3 N 0.3333 0.6667 0.6809

Computed, not measured: a geometry-optimized Y4Zn3W2N3 structure at the GGA-PBE level of DFT.

Summary:
* calculated density: 8.00 g/cm³
* final energy: -7.41 eV per atom

a = 5.8247 Å, b = 5.8247 Å, c = 13.9605 Å
α = 102.44°, β = 102.44°, γ = 60.49°
Fractional positions:
1 Y 0.0446 0.1943 0.1050
2 Y 0.1201 0.2993 0.3948
3 Y 0.1943 0.0446 0.6050
4 Y 0.2993 0.1201 0.8948
5 Y 0.7007 0.8799 0.1052
6 Y 0.8057 0.9554 0.3950
7 Y 0.8799 0.7007 0.6052
8 Y 0.9554 0.8057 0.8950
9 Zn 0.1710 0.8290 0.2500
10 Zn 0.3372 0.4173 0.7528
11 Zn 0.4173 0.3372 0.2528
12 Zn 0.5827 0.6628 0.7472
13 Zn 0.6628 0.5827 0.2472
14 Zn 0.8290 0.1710 0.7500
15 W 0.3505 0.5219 0.0667
16 W 0.4781 0.6495 0.4333
17 W 0.5219 0.3505 0.5667
18 W 0.6495 0.4781 0.9333
19 N 0.0000 0.5000 0.0000
20 N 0.1772 0.6617 0.5000
21 N 0.3383 0.8228 0.0000
22 N 0.5000 0.0000 0.5000
23 N 0.6617 0.1772 0.0000
24 N 0.8228 0.3383 0.5000

Computed, not measured: a geometry-optimized ZnW3N2 structure at the GGA-PBE level of DFT.

Summary:
* calculated density: 14.32 g/cm³
* final energy: -9.14 eV per atom

a = 3.1124 Å, b = 3.1124 Å, c = 17.8275 Å
α = 90.00°, β = 90.00°, γ = 120.00°
Fractional positions:
1 Zn 0.0000 0.0000 0.2500
2 Zn 0.0000 0.0000 0.7500
3 W 0.0000 0.0000 0.0000
4 W 0.0000 0.0000 0.5000
5 W 0.3333 0.6667 0.1303
6 W 0.3333 0.6667 0.3697
7 W 0.6667 0.3333 0.6303
8 W 0.6667 0.3333 0.8697
9 N 0.3333 0.6667 0.5672
10 N 0.3333 0.6667 0.9328
11 N 0.6667 0.3333 0.0672
12 N 0.6667 0.3333 0.4328

Computed, not measured: a geometry-optimized ZnW4N3 structure at the GGA-PBE level of DFT.

Summary:
* calculated density: 15.27 g/cm³
* final energy: -9.65 eV per atom

a = 2.8173 Å, b = 2.8173 Å, c = 26.6657 Å
α = 90.00°, β = 90.00°, γ = 120.00°
Fractional positions:
1 Zn 0.3333 0.6667 0.2500
2 Zn 0.6667 0.3333 0.7500
3 W 0.0000 0.0000 0.1661
4 W 0.0000 0.0000 0.3339
5 W 0.0000 0.0000 0.6661
6 W 0.0000 0.0000 0.8339
7 W 0.3333 0.6667 0.0558
8 W 0.3333 0.6667 0.4442
9 W 0.6667 0.3333 0.5558
10 W 0.6667 0.3333 0.9442
11 N 0.0000 0.0000 0.0000
12 N 0.0000 0.0000 0.5000
13 N 0.3333 0.6667 0.6127
14 N 0.3333 0.6667 0.8873
15 N 0.6667 0.3333 0.1127
16 N 0.6667 0.3333 0.3873

Computed, not measured: a geometry-optimized ZnW2N structure at the GGA-PBE level of DFT.

Summary:
* calculated density: 14.47 g/cm³
* final energy: -8.81 eV per atom

a = 4.8789 Å, b = 4.8789 Å, c = 15.1891 Å
α = 99.22°, β = 99.22°, γ = 60.07°
Fractional positions:
1 Zn 0.0890 0.9110 0.7500
2 Zn 0.2458 0.4214 0.2500
3 Zn 0.4214 0.2458 0.7500
4 Zn 0.5786 0.7542 0.2500
5 Zn 0.7542 0.5786 0.7500
6 Zn 0.9110 0.0890 0.2500
7 W 0.0330 0.1983 0.5977
8 W 0.1350 0.3002 0.9023
9 W 0.1983 0.0330 0.0977
10 W 0.3002 0.1350 0.4023
11 W 0.3664 0.5315 0.5975
12 W 0.4685 0.6336 0.9025
13 W 0.5315 0.3664 0.0975
14 W 0.6336 0.4685 0.4025
15 W 0.6998 0.8650 0.5977
16 W 0.8017 0.9670 0.9023
17 W 0.8650 0.6998 0.0977
18 W 0.9670 0.8017 0.4023
19 N 0.0000 0.5000 0.5000
20 N 0.1659 0.6669 0.0000
21 N 0.3331 0.8341 0.5000
22 N 0.5000 0.0000 0.0000
23 N 0.6669 0.1659 0.5000
24 N 0.8341 0.3331 0.0000

Computed, not measured: a geometry-optimized ZnW2N structure at the GGA-PBE level of DFT.

Summary:
* calculated density: 14.46 g/cm³
* final energy: -8.81 eV per atom

a = 2.8184 Å, b = 2.8184 Å, c = 14.9232 Å
α = 90.00°, β = 90.00°, γ = 120.00°
Fractional positions:
1 Zn 0.3333 0.6667 0.2500
2 Zn 0.6667 0.3333 0.7500
3 W 0.3333 0.6667 0.5976
4 W 0.3333 0.6667 0.9024
5 W 0.6667 0.3333 0.0976
6 W 0.6667 0.3333 0.4024
7 N 0.0000 0.0000 0.0000
8 N 0.0000 0.0000 0.5000

Computed, not measured: a geometry-optimized Zr4Zn3W2N3 structure at the GGA-PBE level of DFT.

Summary:
* calculated density: 8.98 g/cm³
* final energy: -8.08 eV per atom

a = 5.5478 Å, b = 5.5478 Å, c = 13.8202 Å
α = 101.39°, β = 101.39°, γ = 60.07°
Fractional positions:
1 Zr 0.0301 0.1982 0.0990
2 Zr 0.1322 0.3045 0.4010
3 Zr 0.1982 0.0301 0.5990
4 Zr 0.3045 0.1322 0.9010
5 Zr 0.6955 0.8678 0.0990
6 Zr 0.8018 0.9699 0.4010
7 Zr 0.8678 0.6955 0.5990
8 Zr 0.9699 0.8018 0.9010
9 Zn 0.1430 0.8570 0.2500
10 Zn 0.3157 0.4135 0.7499
11 Zn 0.4135 0.3157 0.2499
12 Zn 0.5865 0.6843 0.7501
13 Zn 0.6843 0.5865 0.2501
14 Zn 0.8570 0.1430 0.7500
15 W 0.3544 0.5249 0.0746
16 W 0.4751 0.6456 0.4254
17 W 0.5249 0.3544 0.5746
18 W 0.6456 0.4751 0.9254
19 N 0.0000 0.5000 0.0000
20 N 0.1583 0.6706 0.5002
21 N 0.3294 0.8417 0.9998
22 N 0.5000 0.0000 0.5000
23 N 0.6706 0.1583 0.0002
24 N 0.8417 0.3294 0.4998